No. 1
Computed, not measured: TiCdCu3 after structural relaxation at the PBE level of DFT.

Computed properties:
- E above lowest polymorph: 0.0 meV per atom

Cell: 4.682 4.682 4.682 Å, 90.00 90.00 90.00°
Space group Pm-3m (No. 221)
Unique sites:
Ti1 0.000 0.000 0.000
Cd1 0.500 0.500 0.500
Cu1 0.000 0.000 0.500

***

No. 2
Computed, not measured: TiCdCu after structural relaxation at the PBE level of DFT.

Computed properties:
- E above lowest polymorph: 215.1 meV per atom

Cell: 2.8781 2.8781 7.0611 Å, 90.00 90.00 120.00°
Space group P3m1 (No. 156)
Unique sites:
Ti1 0.0000 0.0000 0.0000
Cd1 0.6667 0.3333 0.3665
Cu1 0.3333 0.6667 0.6979

***

No. 3
Computed, not measured: TiCd2Cu after structural relaxation at the PBE level of DFT.

Cell: 4.161 4.161 4.179 Å, 90.00 90.00 90.00°
Space group P4/mmm (No. 123)
Unique sites:
Ti1 0.000 0.000 0.000
Cd1 0.000 0.500 0.500
Cu1 0.500 0.500 0.000

***

No. 4
Computed, not measured: TiCd2Cu after structural relaxation at the PBE level of DFT.

Cell: 2.8833 2.8833 31.3108 Å, 90.00 90.00 120.00°
Space group R-3m (No. 166, hexagonal axes)
Unique sites:
Ti1 0.0000 0.0000 0.0000
Cd1 0.0000 0.0000 0.0935
Cu1 0.0000 0.0000 0.5000

***

No. 5
Computed, not measured: Ti3CdCu after structural relaxation at the PBE level of DFT.

Computed properties:
- E above lowest polymorph: 927.3 meV per atom

Cell: 4.999 4.999 4.999 Å, 90.00 90.00 90.00°
Space group Pm-3m (No. 221)
Unique sites:
Ti1 0.000 0.000 0.500
Cd1 0.000 0.000 0.000
Cu1 0.500 0.500 0.500

***

No. 6
Computed, not measured: TiCdCu after structural relaxation at the PBE level of DFT.

Computed properties:
- E above lowest polymorph: 0.0 meV per atom

Cell: 3.120 3.120 10.328 Å, 90.00 90.00 90.00°
Space group P4/nmm (No. 129, origin choice 2)
Unique sites:
Ti1 0.250 0.250 0.083
Cd1 0.250 0.250 0.393
Cu1 0.250 0.250 0.774

***

No. 7
Computed, not measured: Ti2CdCu2 after structural relaxation at the PBE level of DFT.

Cell: 3.877 3.877 11.306 Å, 90.00 90.00 90.00°
Space group I4/mmm (No. 139)
Unique sites:
Ti1 0.000 0.500 0.250
Cd1 0.000 0.000 0.000
Cu1 0.000 0.000 0.399

***

No. 8
Computed, not measured: TiCd2Cu after structural relaxation at the PBE level of DFT.

Cell: 7.561 7.561 5.551 Å, 90.00 90.00 90.00°
Space group I-42d (No. 122)
Unique sites:
Ti1 0.000 0.000 0.000
Cd1 0.218 0.250 0.625
Cu1 0.000 0.000 0.500

***

These records have calculated formation energy values of 496.7; 41.6; 45.4; 131.8; 708.0; -20.6; 90.3; 148.6 kJ/mol of formula units, in the order they appear.
These records have E values of -3.19; -4.16; -3.34; -3.11; -4.27; -4.37; -4.79; -3.07 eV/atom, in the order they appear.